1.
ScReTc2 | PBE | relaxed

- energy relative to the elements (meV per atom) = -198.0
- Fermi-level density of states (states/eV/atom) = 0.2656
- distance to the lowest polymorph of the same formula (kJ per mole of atoms) = 0.0
- volume (Å³ per cell) = 247.8

```
data_ScReTc2
_chemical_formula_sum 'Sc4 Re4 Tc8'
_cell_length_a 6.281
_cell_length_b 6.281
_cell_length_c 6.281
_cell_angle_alpha 90.00
_cell_angle_beta 90.00
_cell_angle_gamma 90.00
_space_group_name_H-M_alt 'F m -3 m'
_space_group_IT_number 225
_space_group_name_Hall '-F 4 2 3'
loop_
_atom_site_label
_atom_site_type_symbol
_atom_site_fract_x
_atom_site_fract_y
_atom_site_fract_z
Sc1 Sc 0.000 0.000 0.000
Re1 Re 0.000 0.000 0.500
Tc1 Tc 0.250 0.250 0.250
```

2.
ScRe2Tc | PBE | relaxed

- energy relative to the elements (meV per atom) = 562.9
- Fermi-level density of states (states/eV/atom) = 0.8663
- distance to the lowest polymorph of the same formula (kJ per mole of atoms) = 67.7
- volume (Å³ per cell) = 283.3

```
data_ScRe2Tc
_chemical_formula_sum 'Sc4 Re8 Tc4'
_cell_length_a 7.365
_cell_length_b 7.365
_cell_length_c 5.223
_cell_angle_alpha 90.00
_cell_angle_beta 90.00
_cell_angle_gamma 90.00
_space_group_name_H-M_alt 'I -4 2 d'
_space_group_IT_number 122
_space_group_name_Hall 'I -4 2bw'
loop_
_atom_site_label
_atom_site_type_symbol
_atom_site_fract_x
_atom_site_fract_y
_atom_site_fract_z
Sc1 Sc 0.000 0.000 0.000
Re1 Re 0.212 0.250 0.625
Tc1 Tc 0.000 0.000 0.500
```

3.
ScRe2Tc | PBE | relaxed

- energy relative to the elements (meV per atom) = -80.9
- Fermi-level density of states (states/eV/atom) = 0.6115
- distance to the lowest polymorph of the same formula (kJ per mole of atoms) = 5.6
- volume (Å³ per cell) = 62.6

```
data_ScRe2Tc
_chemical_formula_sum 'Sc1 Re2 Tc1'
_cell_length_a 3.124
_cell_length_b 4.421
_cell_length_c 4.532
_cell_angle_alpha 90.00
_cell_angle_beta 90.00
_cell_angle_gamma 90.00
_space_group_name_H-M_alt 'P m m m'
_space_group_IT_number 47
_space_group_name_Hall '-P 2 2'
loop_
_atom_site_label
_atom_site_type_symbol
_atom_site_fract_x
_atom_site_fract_y
_atom_site_fract_z
Sc1 Sc 0.000 0.000 0.000
Re1 Re 0.000 0.500 0.500
Re2 Re 0.500 0.000 0.500
Tc1 Tc 0.500 0.500 0.000
```

4.
ScReTc2 | PBE | relaxed

- energy relative to the elements (meV per atom) = -16.0
- Fermi-level density of states (states/eV/atom) = 0.8087
- distance to the lowest polymorph of the same formula (kJ per mole of atoms) = 17.6
- volume (Å³ per cell) = 62.7

```
data_ScReTc2
_chemical_formula_sum 'Sc1 Re1 Tc2'
_cell_length_a 2.803
_cell_length_b 4.371
_cell_length_c 5.194
_cell_angle_alpha 90.00
_cell_angle_beta 99.75
_cell_angle_gamma 90.00
_space_group_name_H-M_alt 'P 1 2/m 1'
_space_group_IT_number 10
_space_group_name_Hall '-P 2y'
loop_
_atom_site_label
_atom_site_type_symbol
_atom_site_fract_x
_atom_site_fract_y
_atom_site_fract_z
Sc1 Sc 0.000 0.000 0.000
Re1 Re 0.500 0.000 0.500
Tc1 Tc 0.266 0.500 0.745
```

5.
ScReTc | PBE | relaxed

- energy relative to the elements (meV per atom) = -59.2
- Fermi-level density of states (states/eV/atom) = 0.8535
- distance to the lowest polymorph of the same formula (kJ per mole of atoms) = 21.9
- volume (Å³ per cell) = 48.3

```
data_ScReTc
_chemical_formula_sum 'Sc1 Re1 Tc1'
_cell_length_a 4.4348
_cell_length_b 4.4348
_cell_length_c 2.8337
_cell_angle_alpha 90.00
_cell_angle_beta 90.00
_cell_angle_gamma 120.00
_space_group_name_H-M_alt 'P 3 m 1'
_space_group_IT_number 156
_space_group_name_Hall 'P 3 -2"'
loop_
_atom_site_label
_atom_site_type_symbol
_atom_site_fract_x
_atom_site_fract_y
_atom_site_fract_z
Sc1 Sc 0.0000 0.0000 0.0000
Re1 Re 0.3333 0.6667 0.6238
Tc1 Tc 0.6667 0.3333 0.3391
```

6.
ScReTc | PBE | relaxed

- energy relative to the elements (meV per atom) = -37.4
- Fermi-level density of states (states/eV/atom) = 0.5706
- distance to the lowest polymorph of the same formula (kJ per mole of atoms) = 24.0
- volume (Å³ per cell) = 193.2

```
data_ScReTc
_chemical_formula_sum 'Sc4 Re4 Tc4'
_cell_length_a 4.428
_cell_length_b 9.599
_cell_length_c 4.545
_cell_angle_alpha 90.00
_cell_angle_beta 90.00
_cell_angle_gamma 90.00
_space_group_name_H-M_alt 'C m c m'
_space_group_IT_number 63
_space_group_name_Hall '-C 2c 2'
loop_
_atom_site_label
_atom_site_type_symbol
_atom_site_fract_x
_atom_site_fract_y
_atom_site_fract_z
Sc1 Sc 0.000 0.085 0.250
Re1 Re 0.000 0.248 0.750
Tc1 Tc 0.000 0.405 0.250
```

7.
ScReTc2 | PBE | relaxed

- energy relative to the elements (meV per atom) = -39.7
- Fermi-level density of states (states/eV/atom) = 0.6911
- distance to the lowest polymorph of the same formula (kJ per mole of atoms) = 15.3
- volume (Å³ per cell) = 248.8

```
data_ScReTc2
_chemical_formula_sum 'Sc4 Re4 Tc8'
_cell_length_a 6.289
_cell_length_b 6.289
_cell_length_c 6.289
_cell_angle_alpha 90.00
_cell_angle_beta 90.00
_cell_angle_gamma 90.00
_space_group_name_H-M_alt 'F -4 3 m'
_space_group_IT_number 216
_space_group_name_Hall 'F -4 2 3'
loop_
_atom_site_label
_atom_site_type_symbol
_atom_site_fract_x
_atom_site_fract_y
_atom_site_fract_z
Sc1 Sc 0.000 0.000 0.000
Re1 Re 0.250 0.250 0.750
Tc1 Tc 0.000 0.000 0.500
Tc2 Tc 0.250 0.250 0.250
```

8.
ScReTc3 | PBE | relaxed

- energy relative to the elements (meV per atom) = 1120.4
- Fermi-level density of states (states/eV/atom) = 0.7906
- volume (Å³ per cell) = 102.9

```
data_ScReTc3
_chemical_formula_sum 'Sc1 Re1 Tc3'
_cell_length_a 4.686
_cell_length_b 4.686
_cell_length_c 4.686
_cell_angle_alpha 90.00
_cell_angle_beta 90.00
_cell_angle_gamma 90.00
_space_group_name_H-M_alt 'P m -3 m'
_space_group_IT_number 221
_space_group_name_Hall '-P 4 2 3'
loop_
_atom_site_label
_atom_site_type_symbol
_atom_site_fract_x
_atom_site_fract_y
_atom_site_fract_z
Sc1 Sc 0.000 0.000 0.000
Re1 Re 0.500 0.500 0.500
Tc1 Tc 0.000 0.500 0.500
```

9.
ScReTc2 | PBE | relaxed

- energy relative to the elements (meV per atom) = 468.7
- Fermi-level density of states (states/eV/atom) = 0.8856
- distance to the lowest polymorph of the same formula (kJ per mole of atoms) = 64.3
- volume (Å³ per cell) = 286.5

```
data_ScReTc2
_chemical_formula_sum 'Sc4 Re4 Tc8'
_cell_length_a 7.282
_cell_length_b 7.282
_cell_length_c 5.403
_cell_angle_alpha 90.00
_cell_angle_beta 90.00
_cell_angle_gamma 90.00
_space_group_name_H-M_alt 'I -4 2 d'
_space_group_IT_number 122
_space_group_name_Hall 'I -4 2bw'
loop_
_atom_site_label
_atom_site_type_symbol
_atom_site_fract_x
_atom_site_fract_y
_atom_site_fract_z
Sc1 Sc 0.000 0.000 0.000
Re1 Re 0.000 0.000 0.500
Tc1 Tc 0.206 0.750 0.625
```

10.
ScRe2Tc | PBE | relaxed

- energy relative to the elements (meV per atom) = -42.7
- Fermi-level density of states (states/eV/atom) = 0.7314
- distance to the lowest polymorph of the same formula (kJ per mole of atoms) = 9.2
- volume (Å³ per cell) = 126.1

```
data_ScRe2Tc
_chemical_formula_sum 'Sc2 Re4 Tc2'
_cell_length_a 3.125
_cell_length_b 4.503
_cell_length_c 8.964
_cell_angle_alpha 90.00
_cell_angle_beta 90.00
_cell_angle_gamma 90.00
_space_group_name_H-M_alt 'I m m 2'
_space_group_IT_number 44
_space_group_name_Hall 'I 2 -2'
loop_
_atom_site_label
_atom_site_type_symbol
_atom_site_fract_x
_atom_site_fract_y
_atom_site_fract_z
Sc1 Sc 0.000 0.000 0.000
Re1 Re 0.000 0.000 0.499
Re2 Re 0.000 0.500 0.760
Tc1 Tc 0.000 0.500 0.243
```

11.
Sc2ReTc2 | PBE | relaxed

- energy relative to the elements (meV per atom) = -60.2
- Fermi-level density of states (states/eV/atom) = 1.1330
- volume (Å³ per cell) = 184.7

```
data_Sc2ReTc2
_chemical_formula_sum 'Sc4 Re2 Tc4'
_cell_length_a 6.425
_cell_length_b 6.425
_cell_length_c 4.473
_cell_angle_alpha 90.00
_cell_angle_beta 90.00
_cell_angle_gamma 90.00
_space_group_name_H-M_alt 'P 4/m b m'
_space_group_IT_number 127
_space_group_name_Hall '-P 4 2ab'
loop_
_atom_site_label
_atom_site_type_symbol
_atom_site_fract_x
_atom_site_fract_y
_atom_site_fract_z
Sc1 Sc 0.178 0.322 0.000
Re1 Re 0.000 0.000 0.500
Tc1 Tc 0.135 0.635 0.500
```

12.
ScReTc2 | PBE | relaxed

- energy relative to the elements (meV per atom) = -16.7
- Fermi-level density of states (states/eV/atom) = 0.8309
- distance to the lowest polymorph of the same formula (kJ per mole of atoms) = 17.5
- volume (Å³ per cell) = 62.7

```
data_ScReTc2
_chemical_formula_sum 'Sc1 Re1 Tc2'
_cell_length_a 2.793
_cell_length_b 4.442
_cell_length_c 5.149
_cell_angle_alpha 90.00
_cell_angle_beta 101.24
_cell_angle_gamma 90.00
_space_group_name_H-M_alt 'P 1 m 1'
_space_group_IT_number 6
_space_group_name_Hall 'P -2y'
loop_
_atom_site_label
_atom_site_type_symbol
_atom_site_fract_x
_atom_site_fract_y
_atom_site_fract_z
Sc1 Sc 0.000 0.000 0.000
Re1 Re 0.272 0.500 0.740
Tc1 Tc 0.495 0.000 0.501
Tc2 Tc 0.751 0.500 0.240
```

13.
ScReTc | PBE | relaxed

- energy relative to the elements (meV per atom) = 1363.4
- Fermi-level density of states (states/eV/atom) = 1.7810
- distance to the lowest polymorph of the same formula (kJ per mole of atoms) = 159.1
- volume (Å³ per cell) = 224.9

```
data_ScReTc
_chemical_formula_sum 'Sc4 Re4 Tc4'
_cell_length_a 6.081
_cell_length_b 6.081
_cell_length_c 6.081
_cell_angle_alpha 90.00
_cell_angle_beta 90.00
_cell_angle_gamma 90.00
_space_group_name_H-M_alt 'F -4 3 m'
_space_group_IT_number 216
_space_group_name_Hall 'F -4 2 3'
loop_
_atom_site_label
_atom_site_type_symbol
_atom_site_fract_x
_atom_site_fract_y
_atom_site_fract_z
Sc1 Sc 0.000 0.000 0.000
Re1 Re 0.250 0.250 0.750
Tc1 Tc 0.250 0.250 0.250
```

14.
ScReTc2 | PBE | relaxed

- energy relative to the elements (meV per atom) = 152.5
- Fermi-level density of states (states/eV/atom) = 0.9730
- distance to the lowest polymorph of the same formula (kJ per mole of atoms) = 33.8
- volume (Å³ per cell) = 191.3

```
data_ScReTc2
_chemical_formula_sum 'Sc3 Re3 Tc6'
_cell_length_a 2.8572
_cell_length_b 2.8572
_cell_length_c 27.0641
_cell_angle_alpha 90.00
_cell_angle_beta 90.00
_cell_angle_gamma 120.00
_space_group_name_H-M_alt 'R 3 m'
_space_group_IT_number 160
_space_group_name_Hall 'R 3 -2"'
loop_
_atom_site_label
_atom_site_type_symbol
_atom_site_fract_x
_atom_site_fract_y
_atom_site_fract_z
Sc1 Sc 0.0000 0.0000 0.0000
Re1 Re 0.0000 0.0000 0.7552
Tc1 Tc 0.0000 0.0000 0.2463
Tc2 Tc 0.0000 0.0000 0.5010
```

15.
ScRe2Tc | PBE | relaxed

- energy relative to the elements (meV per atom) = -5.6
- Fermi-level density of states (states/eV/atom) = 0.7386
- distance to the lowest polymorph of the same formula (kJ per mole of atoms) = 12.8
- volume (Å³ per cell) = 62.9

```
data_ScRe2Tc
_chemical_formula_sum 'Sc1 Re2 Tc1'
_cell_length_a 2.781
_cell_length_b 4.477
_cell_length_c 5.154
_cell_angle_alpha 90.00
_cell_angle_beta 101.58
_cell_angle_gamma 90.00
_space_group_name_H-M_alt 'P 1 2/m 1'
_space_group_IT_number 10
_space_group_name_Hall '-P 2y'
loop_
_atom_site_label
_atom_site_type_symbol
_atom_site_fract_x
_atom_site_fract_y
_atom_site_fract_z
Sc1 Sc 0.000 0.000 0.000
Re1 Re 0.261 0.500 0.751
Tc1 Tc 0.500 0.000 0.500
```

16.
ScRe2Tc | PBE | relaxed

- energy relative to the elements (meV per atom) = -69.8
- Fermi-level density of states (states/eV/atom) = 0.5894
- distance to the lowest polymorph of the same formula (kJ per mole of atoms) = 6.6
- volume (Å³ per cell) = 63.7

```
data_ScRe2Tc
_chemical_formula_sum 'Sc1 Re2 Tc1'
_cell_length_a 3.133
_cell_length_b 3.133
_cell_length_c 6.490
_cell_angle_alpha 90.00
_cell_angle_beta 90.00
_cell_angle_gamma 90.00
_space_group_name_H-M_alt 'P 4 m m'
_space_group_IT_number 99
_space_group_name_Hall 'P 4 -2'
loop_
_atom_site_label
_atom_site_type_symbol
_atom_site_fract_x
_atom_site_fract_y
_atom_site_fract_z
Sc1 Sc 0.000 0.000 0.000
Re1 Re 0.000 0.000 0.498
Re2 Re 0.500 0.500 0.729
Tc1 Tc 0.500 0.500 0.261
```

17.
ScReTc2 | PBE | relaxed

- energy relative to the elements (meV per atom) = 124.1
- Fermi-level density of states (states/eV/atom) = 1.1866
- distance to the lowest polymorph of the same formula (kJ per mole of atoms) = 31.1
- volume (Å³ per cell) = 126.5

```
data_ScReTc2
_chemical_formula_sum 'Sc2 Re2 Tc4'
_cell_length_a 3.118
_cell_length_b 4.578
_cell_length_c 8.862
_cell_angle_alpha 90.00
_cell_angle_beta 90.00
_cell_angle_gamma 90.00
_space_group_name_H-M_alt 'C m m m'
_space_group_IT_number 65
_space_group_name_Hall '-C 2 2'
loop_
_atom_site_label
_atom_site_type_symbol
_atom_site_fract_x
_atom_site_fract_y
_atom_site_fract_z
Sc1 Sc 0.000 0.000 0.000
Re1 Re 0.000 0.000 0.500
Tc1 Tc 0.000 0.500 0.260
```

18.
ScRe2Tc | PBE | relaxed

- energy relative to the elements (meV per atom) = 160.8
- Fermi-level density of states (states/eV/atom) = 1.0645
- distance to the lowest polymorph of the same formula (kJ per mole of atoms) = 28.9
- volume (Å³ per cell) = 192.0

```
data_ScRe2Tc
_chemical_formula_sum 'Sc3 Re6 Tc3'
_cell_length_a 2.8362
_cell_length_b 2.8362
_cell_length_c 27.5558
_cell_angle_alpha 90.00
_cell_angle_beta 90.00
_cell_angle_gamma 120.00
_space_group_name_H-M_alt 'R -3 m'
_space_group_IT_number 166
_space_group_name_Hall '-R 3 2"'
loop_
_atom_site_label
_atom_site_type_symbol
_atom_site_fract_x
_atom_site_fract_y
_atom_site_fract_z
Sc1 Sc 0.0000 0.0000 0.0000
Re1 Re 0.0000 0.0000 0.2454
Tc1 Tc 0.0000 0.0000 0.5000
```

19.
Sc8ReTc2 | PBE | relaxed

- energy relative to the elements (meV per atom) = -136.6
- Fermi-level density of states (states/eV/atom) = 0.8505
- volume (Å³ per cell) = 450.5

```
data_Sc8ReTc2
_chemical_formula_sum 'Sc16 Re2 Tc4'
_cell_length_a 16.074
_cell_length_b 4.580
_cell_length_c 6.503
_cell_angle_alpha 90.00
_cell_angle_beta 109.78
_cell_angle_gamma 90.00
_space_group_name_H-M_alt 'C 1 2/m 1'
_space_group_IT_number 12
_space_group_name_Hall '-C 2y'
loop_
_atom_site_label
_atom_site_type_symbol
_atom_site_fract_x
_atom_site_fract_y
_atom_site_fract_z
Sc1 Sc 0.024 0.000 0.287
Sc2 Sc 0.101 0.500 0.946
Sc3 Sc 0.165 0.500 0.451
Sc4 Sc 0.197 0.000 0.793
Re1 Re 0.000 0.500 0.500
Tc1 Tc 0.180 0.000 0.188
```

20.
ScRe2Tc | PBE | relaxed

- energy relative to the elements (meV per atom) = 190.4
- Fermi-level density of states (states/eV/atom) = 1.2036
- distance to the lowest polymorph of the same formula (kJ per mole of atoms) = 31.7
- volume (Å³ per cell) = 128.0

```
data_ScRe2Tc
_chemical_formula_sum 'Sc2 Re4 Tc2'
_cell_length_a 5.176
_cell_length_b 8.796
_cell_length_c 2.812
_cell_angle_alpha 90.00
_cell_angle_beta 90.00
_cell_angle_gamma 90.00
_space_group_name_H-M_alt 'C m m m'
_space_group_IT_number 65
_space_group_name_Hall '-C 2 2'
loop_
_atom_site_label
_atom_site_type_symbol
_atom_site_fract_x
_atom_site_fract_y
_atom_site_fract_z
Sc1 Sc 0.000 0.000 0.000
Re1 Re 0.250 0.250 0.500
Tc1 Tc 0.000 0.500 0.000
```